[1]
Crystalline Hf3Si2Ge2Pd4 at its relaxed geometry, computed with GGA-PBE.

## Properties
The total energy comes out at -7.196 eV per atom.

Geometry as POSCAR:
```
Hf3Si2Ge2Pd4
1.0
1.7601 -6.3445 4.0929
-5.6080 -5.1530 1.4490
4.4988 3.7879 -5.0512
Si Hf Pd Ge
2 3 4 2
Direct
0.2870 0.2870 0.0000
0.7130 0.7130 0.0000
0.1230 0.6230 0.5000
0.8770 0.3770 0.5000
0.5000 0.5000 0.0000
0.8817 0.1779 0.7038
0.4740 0.1779 0.2962
0.1183 0.8221 0.2962
0.5260 0.8221 0.7038
0.8052 0.0000 0.8052
0.1948 0.0000 0.1948
```

---

[2]
Crystalline PrTe3PbAu at its relaxed geometry, computed with GGA-PBE.

## Properties
The offset from the most stable computed form is 21 meV per atom.

Geometry as POSCAR:
```
PrTe3PbAu
1.0
8.4531 0.0000 0.0000
0.0000 4.4111 0.0000
-3.0355 0.0000 10.4367
Pb Te Au Pr
2 6 2 2
Direct
0.2308 0.7500 0.7051
0.7692 0.2500 0.2949
0.0838 0.2500 0.8668
0.9162 0.7500 0.1332
0.4675 0.7500 0.1692
0.7840 0.7500 0.5300
0.2160 0.2500 0.4700
0.5325 0.2500 0.8308
0.5996 0.2500 0.5946
0.4004 0.7500 0.4054
0.7977 0.7500 0.8229
0.2023 0.2500 0.1771
```

---

[3]
Crystalline SbPOs at its relaxed geometry, computed with GGA-PBE.

## Properties
The offset from the most stable computed form is 0 meV per atom.

Geometry as POSCAR:
```
SbPOs
1.0
-1.4145 1.3914 2.3789
-4.7643 0.1589 -2.9258
-1.6267 -5.6571 2.3416
Os Sb P
2 2 2
Direct
0.0000 0.2887 0.4902
0.5000 0.7113 0.9902
0.5000 0.9125 0.3697
0.0000 0.0875 0.8697
0.5000 0.5628 0.6401
0.0000 0.4372 0.1401
```

---

[4]
Crystalline In2PdPt2 at its relaxed geometry, computed with GGA-PBE.

## Properties
The total energy comes out at -4.575 eV per atom.

Geometry as POSCAR:
```
In2PdPt2
1.0
-1.5224 -2.6369 5.7062
-5.7496 0.6212 2.8960
2.6589 -1.4740 -5.7087
Pt In Pd
2 2 1
Direct
0.3899 0.3899 0.0000
0.6101 0.6101 0.0000
0.7500 0.2500 0.5000
0.2500 0.7500 0.5000
0.0000 0.0000 0.0000
```

---

[5]
Crystalline Tb3Si at its relaxed geometry, computed with GGA-PBE.

## Properties
The total energy comes out at -5.224 eV per atom.

Geometry as POSCAR:
```
Tb3Si
1.0
7.7314 0.0000 0.0000
0.0000 9.1419 0.0000
0.0000 0.0000 6.2802
Si Tb
4 12
Direct
0.3789 0.7500 0.0653
0.6211 0.2500 0.9347
0.8789 0.7500 0.4347
0.1211 0.2500 0.5653
0.6812 0.5566 0.1413
0.8188 0.4434 0.6413
0.6812 0.9434 0.1413
0.1812 0.5566 0.3587
0.3188 0.0566 0.8587
0.8188 0.0566 0.6413
0.4687 0.2500 0.3710
0.9687 0.2500 0.1290
0.5313 0.7500 0.6290
0.0313 0.7500 0.8710
0.3188 0.4434 0.8587
0.1812 0.9434 0.3587
```

---

[6]
Crystalline TaSnPd2 at its relaxed geometry, computed with GGA-PBE.

## Properties
The total energy comes out at -6.724 eV per atom.

Geometry as POSCAR:
```
TaSnPd2
1.0
0.0000 3.2557 3.2557
3.2557 0.0000 3.2557
3.2557 3.2557 0.0000
Pd Sn Ta
2 1 1
Direct
0.0000 0.0000 0.0000
0.7500 0.7500 0.7500
0.5000 0.5000 0.5000
0.2500 0.2500 0.2500
```

---

[7]
Crystalline Sr2Sm at its relaxed geometry, computed with GGA-PBE.

## Properties
The offset from the most stable computed form is 0 meV per atom.

Geometry as POSCAR:
```
Sr2Sm
1.0
0.0000 5.1983 5.1983
5.1983 0.0000 5.1983
5.1983 5.1983 0.0000
Sr Sm
4 2
Direct
0.6250 0.6250 0.6250
0.1250 0.6250 0.6250
0.6250 0.1250 0.6250
0.6250 0.6250 0.1250
0.0000 0.0000 0.0000
0.2500 0.2500 0.2500
```

---

[8]
Crystalline ZrInTcNi at its relaxed geometry, computed with GGA-PBE.

## Properties
The total energy comes out at -6.970 eV per atom.

Geometry as POSCAR:
```
ZrInTcNi
1.0
1.5869 3.1388 2.9111
-2.0608 0.6292 4.0251
2.0728 -1.3019 3.8540
In Ni Tc Zr
1 1 1 1
Direct
0.0000 0.0000 0.0000
0.7500 0.7500 0.7500
0.2500 0.2500 0.2500
0.5000 0.5000 0.5000
```

---

[9]
Crystalline KSmTeO at its relaxed geometry, computed with GGA-PBE.

## Properties
The offset from the most stable computed form is 147 meV per atom.

Geometry as POSCAR:
```
KSmTeO
1.0
-2.6847 -3.2445 -2.4365
-3.5819 -2.5087 7.2874
-4.9591 4.7150 -0.8143
Sm Te O K
2 2 2 2
Direct
0.5000 0.1129 0.5225
0.5000 0.8871 0.0225
0.0000 0.3056 0.6357
0.0000 0.6944 0.1357
0.5000 0.9080 0.7075
0.5000 0.0920 0.2075
0.0000 0.2845 0.1253
0.0000 0.7155 0.6253
```

---

[10]
Crystalline NaDyCdS3 at its relaxed geometry, computed with GGA-PBE.

## Properties
The offset from the most stable computed form is 28 meV per atom.

Geometry as POSCAR:
```
NaDyCdS3
1.0
-6.2912 0.1534 -5.9157
-8.2704 0.0634 -2.4887
2.0025 8.3515 1.3760
Cd Dy S Na
2 2 6 2
Direct
0.5101 0.5101 0.7205
0.4899 0.4899 0.2795
0.8240 0.8240 0.3993
0.1760 0.1760 0.6007
0.5000 0.5000 0.0000
0.0000 0.0000 0.5000
0.6624 0.6624 0.3718
0.6736 0.6736 0.8104
0.3264 0.3264 0.1896
0.3376 0.3376 0.6282
0.8652 0.8652 0.9323
0.1348 0.1348 0.0677
```

---

[11]
Crystalline ScBeFeBi at its relaxed geometry, computed with GGA-PBE.

## Properties
The offset from the most stable computed form is 144 meV per atom.

Geometry as POSCAR:
```
ScBeFeBi
1.0
0.0000 3.2243 3.2243
3.2243 0.0000 3.2243
3.2243 3.2243 0.0000
Bi Fe Be Sc
1 1 1 1
Direct
0.2500 0.2500 0.2500
0.7500 0.7500 0.7500
0.5000 0.5000 0.5000
0.0000 0.0000 0.0000
```

---

[12]
Crystalline RbTmHgSe3 at its relaxed geometry, computed with GGA-PBE.

## Properties
The total energy comes out at -3.883 eV per atom.

Geometry as POSCAR:
```
RbTmHgSe3
1.0
8.9065 0.0000 0.0000
0.0000 4.2327 0.0000
-3.4855 0.0000 9.8867
Tm Se Rb Hg
2 6 2 2
Direct
0.8261 0.7500 0.8667
0.1739 0.2500 0.1333
0.0344 0.2500 0.8547
0.2545 0.2500 0.4415
0.3958 0.7500 0.1288
0.9656 0.7500 0.1453
0.7455 0.7500 0.5585
0.6042 0.2500 0.8712
0.2641 0.7500 0.7391
0.7359 0.2500 0.2609
0.4149 0.7500 0.3839
0.5851 0.2500 0.6161
```

---

[13]
Crystalline NpGaSb at its relaxed geometry, computed with GGA-PBE.

## Properties
The total energy comes out at -6.554 eV per atom.

Geometry as POSCAR:
```
NpGaSb
1.0
-1.7413 -3.0768 3.2267
-1.0825 1.5141 4.4097
-4.5761 0.3036 1.3701
Np Sb Ga
1 1 1
Direct
0.2500 0.2500 0.2500
0.7500 0.7500 0.7500
0.0000 0.0000 0.0000
```

---

[14]
Crystalline LaSmSi2I2 at its relaxed geometry, computed with GGA-PBE.

## Properties
The total energy comes out at -5.028 eV per atom.

Geometry as POSCAR:
```
LaSmSi2I2
1.0
4.1989 0.0000 0.0000
-2.0995 3.6364 0.0000
0.0000 0.0000 12.6487
Si I Sm La
2 2 1 1
Direct
0.6667 0.3333 0.4898
0.3333 0.6667 0.5013
0.6667 0.3333 0.8322
0.3333 0.6667 0.1771
0.0000 0.0000 0.3417
0.0000 0.0000 0.6580
```

---

[15]
Crystalline Ta2NiGe2 at its relaxed geometry, computed with GGA-PBE.

## Properties
The offset from the most stable computed form is 154 meV per atom.

Geometry as POSCAR:
```
Ta2NiGe2
1.0
2.7962 -2.7962 0.0000
2.7962 2.7962 0.0000
-2.7962 0.0000 5.8429
Ta Ge Ni
2 2 1
Direct
0.7500 0.2500 0.5000
0.2500 0.7500 0.5000
0.5977 0.5977 0.1953
0.4023 0.4023 0.8047
0.0000 0.0000 0.0000
```

---

[16]
Crystalline LiAg2 at its relaxed geometry, computed with GGA-PBE.

## Properties
The total energy comes out at -2.610 eV per atom.

Geometry as POSCAR:
```
LiAg2
1.0
4.7607 0.0000 0.0000
2.2801 4.9181 0.0000
2.3557 1.7512 4.5959
Li Ag
2 4
Direct
0.9952 0.7531 0.2530
0.0048 0.2469 0.7470
0.3319 0.1695 0.1670
0.3276 0.6687 0.6677
0.6724 0.3313 0.3323
0.6681 0.8305 0.8330
```

---

[17]
Crystalline Pu2In5Sn at its relaxed geometry, computed with GGA-PBE.

## Properties
The total energy comes out at -6.056 eV per atom.

Geometry as POSCAR:
```
Pu2In5Sn
1.0
-5.8117 1.9526 2.5148
-6.3319 -8.1701 -8.2895
0.2303 -3.3857 3.1610
In Pu Sn
10 4 2
Direct
0.2367 0.6291 0.5000
0.7367 0.8709 0.5000
0.0131 0.2511 0.0000
0.9869 0.7489 0.0000
0.5000 0.0000 0.0000
0.7633 0.3709 0.5000
0.4869 0.7511 0.0000
0.2633 0.1291 0.5000
0.5131 0.2489 0.0000
0.0000 0.5000 0.0000
0.2373 0.8789 0.5000
0.7373 0.6211 0.5000
0.7627 0.1211 0.5000
0.2627 0.3789 0.5000
0.5000 0.5000 0.0000
0.0000 0.0000 0.0000
```

---

[18]
Crystalline CuSiMoOs at its relaxed geometry, computed with GGA-PBE.

## Properties
The offset from the most stable computed form is 0 meV per atom.

Geometry as POSCAR:
```
CuSiMoOs
1.0
-3.9643 -1.5079 -0.4492
-2.8032 2.0703 -2.4590
-1.2306 -1.6891 -3.7180
Si Cu Mo Os
1 1 1 1
Direct
0.0000 0.0000 0.0000
0.7500 0.7500 0.7500
0.5000 0.5000 0.5000
0.2500 0.2500 0.2500
```

---

[19]
Crystalline HfAlIr at its relaxed geometry, computed with GGA-PBE.

## Properties
The total energy comes out at -8.400 eV per atom.

Geometry as POSCAR:
```
HfAlIr
1.0
6.5526 0.0000 0.0000
0.0000 4.2796 0.0000
0.0000 0.0000 7.3226
Ir Al Hf
4 4 4
Direct
0.3330 0.2500 0.4437
0.6670 0.7500 0.5563
0.1670 0.7500 0.9437
0.8330 0.2500 0.0563
0.2128 0.2500 0.1153
0.7128 0.2500 0.3847
0.2872 0.7500 0.6153
0.7872 0.7500 0.8847
0.0068 0.2500 0.6976
0.5068 0.2500 0.8024
0.4932 0.7500 0.1976
0.9932 0.7500 0.3024
```

---

[20]
Crystalline LuAl2Pd at its relaxed geometry, computed with GGA-PBE.

## Properties
The total energy comes out at -4.867 eV per atom.

Geometry as POSCAR:
```
LuAl2Pd
1.0
4.0108 -0.4967 2.3032
0.0062 -1.7542 4.3082
1.7242 -4.2496 0.7784
Al Pd Lu
2 1 1
Direct
0.7500 0.7500 0.7500
0.0000 0.0000 0.0000
0.5000 0.5000 0.5000
0.2500 0.2500 0.2500
```

---

[21]
Crystalline PaNbAsO at its relaxed geometry, computed with GGA-PBE.

## Properties
The offset from the most stable computed form is 0 meV per atom.

Geometry as POSCAR:
```
PaNbAsO
1.0
3.9855 0.0000 0.0000
0.0000 3.9855 0.0000
0.0000 0.0000 9.0231
O As Nb Pa
2 2 2 2
Direct
0.5000 0.5000 0.0000
0.0000 0.0000 0.0000
0.0000 0.5000 0.7010
0.5000 0.0000 0.2990
0.0000 0.0000 0.5000
0.5000 0.5000 0.5000
0.5000 0.0000 0.8505
0.0000 0.5000 0.1495
```

---

[22]
Crystalline YBiIr at its relaxed geometry, computed with GGA-PBE.

## Properties
The total energy comes out at -7.075 eV per atom.

Geometry as POSCAR:
```
YBiIr
1.0
7.6677 0.0000 0.0000
-3.8338 6.6404 0.0000
0.0000 0.0000 4.0209
Ir Bi Y
3 3 3
Direct
0.0000 0.0000 0.5000
0.6667 0.3333 0.0000
0.3333 0.6667 0.0000
0.0000 0.7339 0.0000
0.7339 0.0000 0.0000
0.2661 0.2661 0.0000
0.0000 0.3982 0.5000
0.3982 0.0000 0.5000
0.6018 0.6018 0.5000
```

---

[23]
Crystalline Nd2DyAl7Cu2 at its relaxed geometry, computed with GGA-PBE.

## Properties
The total energy comes out at -4.451 eV per atom.

Geometry as POSCAR:
```
Nd2DyAl7Cu2
1.0
2.7834 1.6070 8.5907
-2.7834 1.6070 8.5907
0.0000 -3.2140 8.5907
Al Cu Nd Dy
7 2 2 1
Direct
0.5802 0.0716 0.5802
0.4198 0.4198 0.9284
0.9284 0.4198 0.4198
0.0716 0.5802 0.5802
0.4198 0.9284 0.4198
0.5000 0.5000 0.5000
0.5802 0.5802 0.0716
0.3354 0.3354 0.3354
0.6646 0.6646 0.6646
0.1416 0.1416 0.1416
0.8584 0.8584 0.8584
0.0000 0.0000 0.0000
```

---

[24]
Crystalline Zn2SnGeN4 at its relaxed geometry, computed with GGA-PBE.

## Properties
The total energy comes out at -5.623 eV per atom.

Geometry as POSCAR:
```
Zn2SnGeN4
1.0
-2.3362 2.3362 4.6122
2.3362 -2.3362 4.6122
2.3362 2.3362 -4.6122
N Zn Sn Ge
4 2 1 1
Direct
0.5979 0.1024 0.9657
0.3678 0.4021 0.5044
0.8976 0.8633 0.4956
0.1367 0.6322 0.0343
0.7500 0.2500 0.5000
0.5000 0.5000 0.0000
0.0000 0.0000 0.0000
0.2500 0.7500 0.5000
```

---

[25]
Crystalline BeTc4Mo at its relaxed geometry, computed with GGA-PBE.

## Properties
The total energy comes out at -8.049 eV per atom.

Geometry as POSCAR:
```
BeTc4Mo
1.0
3.4543 -3.6064 0.0000
3.4543 3.6064 0.0000
0.0000 0.0000 4.0356
Mo Tc Be
1 4 1
Direct
0.5000 0.5000 0.5000
0.8323 0.1677 0.5000
0.3015 0.3015 0.0000
0.1677 0.8323 0.5000
0.6985 0.6985 0.0000
0.0000 0.0000 0.0000
```